DFT (PBE+U) results for a relaxed TbDyCr2O8 crystal.

Results
Total magnetic moment = 2.000 Bohr magnetons per cell
V = 164 Å³/cell
VASP energy = -0.2814 hartree per atom
Mass density = 5.59 Mg/m³

abc: 6.0026 6.0026 6.0026
angles: 105.99 105.99 116.68
Closest atoms and distances in Å follow each position.
Sites, in units of the cell vectors:
1 Tb 0.0000 0.0000 0.0000  8 O 2.34-2.45
2 Dy 0.7500 0.2500 0.5000  8 O 2.33-2.44
3 Cr 0.2500 0.7500 0.5000  4 O 1.72
4 Cr 0.5000 0.5000 0.0000  4 O 1.72
5 O 0.0753 0.3918 0.3165  1 Cr 1.72
6 O 0.0753 0.7587 0.6835  1 Cr 1.72
7 O 0.1419 0.3262 0.8157  1 Cr 1.72
8 O 0.2413 0.9247 0.3165  1 Cr 1.72
9 O 0.5105 0.3262 0.1843  1 Cr 1.72
10 O 0.6082 0.9247 0.6835  1 Cr 1.72
11 O 0.6738 0.4895 0.8157  1 Cr 1.72
12 O 0.6738 0.8581 0.1843  1 Cr 1.72